# 1
The following is a DFT calculation (GGA-PBE) of an optimized crystal structure of BaCaNbCu2.

It has space group P4/mmm (No. 123), with a = 5.1015 Å, b = 5.1015 Å, c = 5.3207 Å, α = 90.00°, β = 90.00° and γ = 90.00°. The distinct sites, in fractional coordinates, are Ba at (0.0000, 0.0000, 0.0000), Ca at (0.5000, 0.5000, 0.0000), Nb at (0.5000, 0.5000, 0.5000) and Cu at (0.0000, 0.5000, 0.5000).

The value obtained for the volume is 27.69 Å³/atom. The calculated total energy is -3.702 eV per atom. The formation energy comes out at 0.74 eV per atom. The density of states at the Fermi level is 1.014 states/eV/atom.

# 2
The following is a DFT calculation (GGA-PBE) of an optimized crystal structure of La2Pu4Bi3N2.

It has space group I4/mmm (No. 139), with a = 4.7248 Å, b = 4.7248 Å, c = 27.0579 Å, α = 90.00°, β = 90.00° and γ = 90.00°. The distinct sites, in fractional coordinates, are La at (0.0000, 0.0000, 0.1930), Pu at (0.0000, 0.5000, 0.0848), Bi at (0.0000, 0.0000, 0.3225), Bi at (0.0000, 0.0000, 0.5000) and N at (0.0000, 0.0000, 0.1032).

The value obtained for the volume is 27.46 Å³/atom. The calculated total energy is -9.538 eV per atom. The density of states at the Fermi level is 2.290 states/eV/atom.

# 3
The following is a DFT calculation (GGA-PBE) of an optimized crystal structure of B3P2.

It has space group Cm (No. 8), with a = 8.4084 Å, b = 3.0667 Å, c = 4.7947 Å, α = 90.00°, β = 91.85° and γ = 90.00°. The distinct sites, in fractional coordinates, are B at (0.0000, 0.0000, 0.0000), B at (0.0777, 0.5000, 0.6015), B at (0.1688, 0.0000, 0.7559), P at (0.1320, 0.0000, 0.3425) and P at (0.3933, 0.0000, 0.8544).

The value obtained for the volume is 12.36 Å³/atom. The calculated total energy is -5.861 eV per atom. The formation energy comes out at 0.31 eV per atom. The density of states at the Fermi level is 0.265 states/eV/atom.